1.
## CsLa2InPb (PBE)

Data for a relaxed CsLa2InPb crystal.

```
CsLa2InPb
1.0
5.878 0.000 0.000
0.000 5.878 0.000
0.000 0.000 6.119
Cs La In Pb
1 2 1 1
direct
0.000 0.000 0.000
0.000 0.500 0.000
0.500 0.000 0.000
0.500 0.500 0.500
0.000 0.000 0.500
```

Properties
ΔH_f (0 K)   970 meV per atom
Crystal system   tetragonal
DFT total energy   -12.31 eV for the cell shown
Space-group type   P4/mmm

=====

2.
## YMg2Mo (PBE)

Data for a relaxed YMg2Mo crystal.

```
YMg2Mo
1.0
5.973 0.000 0.000
0.000 9.240 0.000
0.000 0.000 3.070
Y Mg Mo
2 4 2
direct
0.000 0.000 0.000
0.500 0.500 0.000
0.250 0.250 0.500
0.250 0.750 0.500
0.750 0.250 0.500
0.750 0.750 0.500
0.000 0.500 0.000
0.500 0.000 0.000
```

Properties
ΔH_f (0 K)   377 meV per atom
E above lowest polymorph   96 meV/atom
Crystal system   orthorhombic
DFT total energy   -37.95 eV for the cell shown
Space-group type   Cmmm

=====

3.
## BaLiZrTa2 (PBE)

Data for a relaxed BaLiZrTa2 crystal.

```
BaLiZrTa2
1.0
5.264 0.000 0.000
0.000 5.264 0.000
0.000 0.000 4.382
Ba Li Zr Ta
1 1 1 2
direct
0.000 0.000 0.000
0.000 0.000 0.500
0.500 0.500 0.500
0.000 0.500 0.000
0.500 0.000 0.000
```

Properties
ΔH_f (0 K)   2039 meV per atom
Crystal system   tetragonal
DFT total energy   -25.89 eV for the cell shown
Space-group type   P4/mmm

=====

4.
## AcGdSbTe (PBE)

Data for a relaxed AcGdSbTe crystal.

```
AcGdSbTe
1.0
7.932 0.000 0.000
0.000 7.932 0.000
0.000 0.000 7.932
Ac Gd Sb Te
4 4 4 4
direct
0.000 0.000 0.000
0.000 0.500 0.500
0.500 0.000 0.500
0.500 0.500 0.000
0.000 0.000 0.500
0.000 0.500 0.000
0.500 0.000 0.000
0.500 0.500 0.500
0.250 0.250 0.750
0.250 0.750 0.250
0.750 0.250 0.250
0.750 0.750 0.750
0.250 0.250 0.250
0.250 0.750 0.750
0.750 0.250 0.750
0.750 0.750 0.250
```

Properties
Crystal system   cubic
DFT total energy   -119.76 eV for the cell shown
Energy relative to the elements, uncorrected   -4.49 eV/f.u.
Space-group type   F-43m

=====

5.
## Pr10SmDy6 (PBE)

Data for a relaxed Pr10SmDy6 crystal.

```
Pr10SmDy6
1.0
9.924 0.000 0.000
-4.962 8.594 0.000
0.000 0.000 6.972
Pr Sm Dy
10 1 6
direct
0.000 0.276 0.318
0.000 0.724 0.682
0.276 0.000 0.318
0.276 0.276 0.682
0.333 0.667 0.000
0.333 0.667 0.500
0.667 0.333 0.000
0.667 0.333 0.500
0.724 0.000 0.682
0.724 0.724 0.318
0.000 0.000 0.000
0.000 0.369 0.811
0.000 0.631 0.189
0.369 0.000 0.811
0.369 0.369 0.189
0.631 0.000 0.189
0.631 0.631 0.811
```

Properties
ΔH_f (0 K)   129 meV per atom
Crystal system   trigonal
DFT total energy   -77.94 eV for the cell shown
Space-group type   P-31m

=====

6.
## HF (PBE)

Data for a relaxed HF crystal.

```
HF
1.0
3.503 0.000 0.000
0.000 3.503 0.000
0.000 0.000 3.503
H F
4 4
direct
0.000 0.000 0.000
0.000 0.500 0.500
0.500 0.000 0.500
0.500 0.500 0.000
0.250 0.250 0.750
0.250 0.750 0.250
0.750 0.250 0.250
0.750 0.750 0.750
```

Properties
E above lowest polymorph   722 meV/atom
Crystal system   cubic
DFT total energy   -27.90 eV for the cell shown
Space-group type   F-43m